Record 1
This record from Alexandria describes PmTm2Cd8 after structural relaxation. The functional is GGA-PBE.

a = 8.092 Å, b = 15.870 Å, c = 5.334 Å
α = 90.00°, β = 128.90°, γ = 90.00°
Space group C2/m (No. 12)
Unique sites:
Pm1 0.000 0.000 0.000
Tm1 0.000 0.312 0.500
Cd1 0.000 0.202 0.000
Cd2 0.016 0.500 0.267
Cd3 0.233 0.132 0.747

Summary:
energy of formation from the pure elements = -0.237 eV per atom
N(E_F) = 12.07 states/eV per cell

Record 2
This record from Alexandria describes Ga5Hg after structural relaxation. The functional is GGA-PBE.

a = 3.087 Å, b = 3.087 Å, c = 12.650 Å
α = 90.00°, β = 90.00°, γ = 90.00°
Space group P4/mmm (No. 123)
Unique sites:
Ga1 0.000 0.000 0.000
Ga2 0.000 0.000 0.318
Ga3 0.500 0.500 0.159
Hg1 0.500 0.500 0.500

Summary:
energy of formation from the pure elements = 0.051 eV per atom
N(E_F) = 2.74 states/eV per cell
ΔE to the lowest computed polymorph = 0.016 eV per atom

Record 3
This record from Alexandria describes GaCu2 after structural relaxation. The functional is GGA-PBE.

a = 2.574 Å, b = 4.181 Å, c = 4.238 Å
α = 60.66°, β = 89.40°, γ = 88.00°
Space group P-1 (No. 2)
Unique sites:
Ga1 0.000 0.000 0.000
Cu1 0.499 0.334 0.330

Summary:
energy of formation from the pure elements = 0.016 eV per atom
N(E_F) = 0.43 states/eV per cell

Record 4
This record from Alexandria describes Cd4PdAu5 after structural relaxation. The functional is GGA-PBE.

a = 4.434 Å, b = 8.493 Å, c = 10.909 Å
α = 90.00°, β = 90.00°, γ = 90.00°
Space group Immm (No. 71)
Unique sites:
Cd1 0.000 0.000 0.250
Cd2 0.000 0.314 0.000
Pd1 0.000 0.000 0.000
Au1 0.000 0.000 0.500
Au2 0.000 0.326 0.360

Summary:
energy of formation from the pure elements = -0.083 eV per atom
N(E_F) = 7.63 states/eV per cell
ΔE to the lowest computed polymorph = 0.083 eV per atom

Record 5
This record from Alexandria describes Ba3Zr2S7 after structural relaxation. The functional is GGA-PBE.

a = 7.172 Å, b = 7.172 Å, c = 25.539 Å
α = 90.00°, β = 90.00°, γ = 90.00°
Space group P4_2/mnm (No. 136)
Unique sites:
Ba1 0.235 0.235 0.181
Ba2 0.245 0.755 0.500
Zr1 0.249 0.249 0.400
S1 0.000 0.000 0.082
S2 0.000 0.000 0.387
S3 0.000 0.500 0.096
S4 0.206 0.206 0.500
S5 0.214 0.786 0.198

Summary:
ΔE_f (raw) = -22.324 eV per formula unit
ΔE to the lowest computed polymorph = 0.000 eV per atom

Record 6
This record from Alexandria describes LuBiAu4 after structural relaxation. The functional is GGA-PBE.

a = 8.011 Å, b = 8.011 Å, c = 8.011 Å
α = 90.00°, β = 90.00°, γ = 90.00°
Space group F-43m (No. 216)
Unique sites:
Lu1 0.000 0.000 0.000
Bi1 0.250 0.250 0.250
Au1 0.125 0.125 0.625

Summary:
energy of formation from the pure elements = -0.375 eV per atom
N(E_F) = 4.86 states/eV per cell

Record 7
This record from Alexandria describes Tm5Bi2Ir after structural relaxation. The functional is GGA-PBE.

a = 7.977 Å, b = 12.386 Å, c = 4.475 Å
α = 90.00°, β = 90.00°, γ = 90.00°
Space group Pbam (No. 55)
Unique sites:
Tm1 0.000 0.000 0.000
Tm2 0.145 0.305 0.000
Tm3 0.178 0.564 0.500
Bi1 0.064 0.826 0.500
Ir1 0.000 0.500 0.000

Summary:
energy of formation from the pure elements = -0.718 eV per atom
N(E_F) = 6.79 states/eV per cell
ΔE to the lowest computed polymorph = 0.000 eV per atom

Record 8
This record from Alexandria describes La2YTe after structural relaxation. The functional is GGA-PBE.

a = 6.755 Å, b = 9.558 Å, c = 3.849 Å
α = 90.00°, β = 90.00°, γ = 90.00°
Space group Cmmm (No. 65)
Unique sites:
La1 0.250 0.250 0.000
Y1 0.000 0.000 0.500
Te1 0.000 0.500 0.500

Summary:
N(E_F) = 8.74 states/eV per cell
ΔE_f (raw) = -2.444 eV per formula unit

Record 9
This record from Alexandria describes KBPt3 after structural relaxation. The functional is GGA-PBE.

a = 4.284 Å, b = 6.308 Å, c = 8.112 Å
α = 103.98°, β = 104.91°, γ = 93.24°
Space group P1 (No. 1)
Unique sites:
K1 0.000 0.000 0.000
K2 0.242 0.823 0.594
B1 0.742 0.661 0.193
B2 0.872 0.226 0.495
Pt1 0.199 0.555 0.163
Pt2 0.370 0.312 0.511
Pt3 0.585 0.466 0.936
Pt4 0.598 0.947 0.307
Pt5 0.753 0.368 0.284
Pt6 0.989 0.376 0.752

Summary:
energy of formation from the pure elements = -0.256 eV per atom
N(E_F) = 0.96 states/eV per cell

Record 10
This record from Alexandria describes MgZrCo2 after structural relaxation. The functional is GGA-PBE.

a = 9.745 Å, b = 2.960 Å, c = 4.483 Å
α = 90.00°, β = 108.88°, γ = 90.00°
Space group Cm (No. 8)
Unique sites:
Mg1 0.000 0.000 0.000
Zr1 0.284 0.500 0.347
Co1 0.044 0.500 0.535
Co2 0.248 0.000 0.826

Summary:
energy of formation from the pure elements = -0.005 eV per atom
N(E_F) = 6.25 states/eV per cell

Record 11
This record from Alexandria describes ScMo2Ir after structural relaxation. The functional is GGA-PBE.

a = 6.361 Å, b = 6.361 Å, c = 6.361 Å
α = 90.00°, β = 90.00°, γ = 90.00°
Space group Fm-3m (No. 225)
Unique sites:
Sc1 0.000 0.000 0.000
Mo1 0.250 0.250 0.250
Ir1 0.000 0.000 0.500

Summary:
energy of formation from the pure elements = 0.063 eV per atom
N(E_F) = 23.83 states/eV per cell
ΔE to the lowest computed polymorph = 0.325 eV per atom

Record 12
This record from Alexandria describes TmMg4Tl5 after structural relaxation. The functional is GGA-PBE.

a = 3.678 Å, b = 3.678 Å, c = 18.442 Å
α = 90.00°, β = 90.00°, γ = 90.00°
Space group P4/mmm (No. 123)
Unique sites:
Tm1 0.000 0.000 0.000
Mg1 0.000 0.000 0.205
Mg2 0.000 0.000 0.400
Tl1 0.500 0.500 0.107
Tl2 0.500 0.500 0.303
Tl3 0.500 0.500 0.500

Summary:
energy of formation from the pure elements = -0.081 eV per atom
N(E_F) = 4.71 states/eV per cell

Number 1: density 8.610 g/cm³. Number 2: density 7.568 g/cm³. Number 3: density 8.224 g/cm³. Number 4: density 12.458 g/cm³. Number 5: density 4.140 g/cm³. Number 6: density 15.139 g/cm³. Number 7: density 10.928 g/cm³. Number 8: density 6.606 g/cm³. Number 9: density 10.344 g/cm³. Number 10: density 6.333 g/cm³. Number 11: density 11.074 g/cm³. Number 12: density 8.575 g/cm³.